The following is a DFT calculation (PBE) of crystalline Tb2HoIn3CuGe2 at its relaxed geometry.

Lattice parameters (Å, degrees): 4.2411 7.3917 7.3917 119.93 90.00 90.00
Sites, in units of the cell vectors:
Cu 0.0000 0.0021 0.0021
Ge 0.5000 0.6651 0.3335
Ge 0.5000 0.3335 0.6651
Ho 0.0000 0.4023 0.4023
In 0.5000 0.2433 0.0002
In 0.5000 0.0002 0.2433
In 0.5000 0.7569 0.7569
Tb 0.0000 0.9995 0.5973
Tb 0.0000 0.5973 0.9995

## Properties
M_tot: 0.00 μB/atom
Symmetry: Amm2
ρ: 8567 kg/m3



The following is a DFT calculation (PBE) of crystalline Y2HoIn3CuGe2 at its relaxed geometry.

Lattice parameters (Å, degrees): 4.2285 7.3915 7.3915 119.95 90.00 90.00
Sites, in units of the cell vectors:
Cu 0.0000 0.0021 0.0021
Ge 0.5000 0.6652 0.3335
Ge 0.5000 0.3335 0.6652
Ho 0.0000 0.4028 0.4028
In 0.5000 0.2432 0.0000
In 0.5000 0.0000 0.2432
In 0.5000 0.7569 0.7569
Y 0.0000 0.9996 0.5967
Y 0.0000 0.5967 0.9996

## Properties
M_tot: 0.00 μB/atom
Symmetry: Amm2
ρ: 7433 kg/m3



The following is a DFT calculation (PBE) of crystalline LaHo2Cu4Ge4 at its relaxed geometry.

Lattice parameters (Å, degrees): 8.0868 8.0868 8.0868 149.87 130.21 59.30
Sites, in units of the cell vectors:
Cu 0.0205 0.8310 0.1895
Cu 0.3585 0.1690 0.1895
Cu 0.6415 0.8310 0.8105
Cu 0.9795 0.1690 0.8105
Ge 0.3163 0.0000 0.3163
Ge 0.7799 0.2799 0.5000
Ge 0.2201 0.7201 0.5000
Ge 0.6837 0.0000 0.6837
Ho 0.3697 0.3697 0.0000
Ho 0.6303 0.6303 0.0000
La 0.0000 0.5000 0.5000

## Properties
M_tot: 0.00 μB/atom
Symmetry: Immm
ρ: 8367 kg/m3



For each record above, in turn, the calculated final energy values are -4.444; -4.854; -4.930 eV per atom.